A relaxed structure of Li9Cd2Cu. Source: Alexandria via LeMat-Bulk, functional GGA-PBE.

Cell: 5.0968 5.4647 7.6982 Å, 82.94 84.95 83.81°
Last column: nearest neighbours and their distance in Å.
Space group P-1 (No. 2)
Symmetry-distinct sites (fractional):
Li 0.0000 0.0000 0.0000 x1  6 Li 2.65-2.93, 2 Cd 2.88
Li 0.0408 0.9609 0.3430 x2  2 Li 2.50-2.65, 1 Cu 2.77
Li 0.0853 0.4870 0.1621 x2  6 Li 2.64-2.94
Li 0.2632 0.4684 0.5177 x2  2 Li 2.46-2.70, 1 Cu 2.72
Li 0.4270 0.7232 0.8103 x2  3 Li 2.64-2.94, 1 Cu 2.68, 3 Cd 2.71-2.93
Cd 0.4661 0.2086 0.8321 x2  7 Li 2.71-2.98, 1 Cu 2.91
Cu 0.5000 0.0000 0.5000 x1  8 Li 2.68-2.91, 2 Cd 2.91

Calculated values
volume	211	Å³/f.u.


A relaxed structure of Li2Cd8Cu. Source: Alexandria via LeMat-Bulk, functional GGA-PBE.

Cell: 4.4532 4.4532 11.5207 Å, 90.00 90.00 90.00°
Last column: nearest neighbours and their distance in Å.
Space group P4/mmm (No. 123)
Symmetry-distinct sites (fractional):
Li 0.0000 0.0000 0.1866 x2  12 Cd 3.04-3.15
Cd 0.0000 0.5000 0.0000 x2  8 Cd 3.08-3.15, 4 Li 3.09
Cd 0.0000 0.5000 0.3665 x4  2 Cu 2.71
Cd 0.5000 0.5000 0.1842 x2  8 Cd 3.06-3.08, 4 Li 3.15
Cu 0.0000 0.0000 0.5000 x1  8 Cd 2.71

Calculated values
volume	228	Å³/f.u.
E above lowest polymorph	0	meV per atom


A relaxed structure of Li2CdCu. Source: Alexandria via LeMat-Bulk, functional GGA-PBE.

Cell: 2.9051 2.9051 27.1225 Å, 90.00 90.00 120.00°
Last column: nearest neighbours and their distance in Å.
Space group R-3m (No. 166, hexagonal axes)
Symmetry-distinct sites (fractional):
Li 0.0000 0.0000 0.2403 x6  3 Cu 2.61, 6 Li 2.91
Cd 0.0000 0.0000 0.0000 x3  6 Cd 2.91, 6 Li 3.03
Cu 0.0000 0.0000 0.5000 x3  6 Li 2.61, 6 Cu 2.91

Calculated values
volume	66	Å³/f.u.


no.,energy relative to the elements (eV per formula unit)
1,-0.8
2,-1.3
3,-0.2